No. 1
{"formula": "BeZnCrC2", "functional": "PBEsol", "state": "relaxed", "lattice_angstrom": [[-2.539, 1.434, -2.065], [-0.845, -3.251, -1.219], [-2.737, -0.436, 3.062]], "species": ["C", "C", "Be", "Zn", "Cr"], "frac_coords": [[0.500, 0.000, 0.000], [0.000, 0.500, 0.000], [0.000, 0.000, 0.000], [0.000, 0.000, 0.500], [0.500, 0.500, 0.500]], "e_form_ev_per_atom": 1.736}

No. 2
{"formula": "RbNb2H", "functional": "PBEsol", "state": "relaxed", "lattice_angstrom": [[4.578, 0.000, 0.000], [2.289, 3.965, 0.000], [2.289, 1.322, 3.738]], "species": ["Nb", "Nb", "H", "Rb"], "frac_coords": [[0.250, 0.250, 0.250], [0.750, 0.750, 0.750], [0.000, 0.000, 0.000], [0.500, 0.500, 0.500]], "dft_energy_ev_per_atom": -4.16}

No. 3
{"formula": "FeSbTe2", "functional": "PBEsol", "state": "relaxed", "lattice_angstrom": [[3.646, 0.000, 0.000], [-1.823, 4.417, -0.030], [0.000, -2.417, 5.953]], "species": ["Te", "Te", "Sb", "Fe"], "frac_coords": [[0.161, 0.323, 0.685], [0.985, 0.971, 0.063], [0.820, 0.641, 0.373], [0.533, 0.066, 0.379]], "raw_formation_energy_kj_per_mol_fu": 29}

No. 4
{"formula": "Mo2AsF", "functional": "PBEsol", "state": "relaxed", "lattice_angstrom": [[4.241, 0.000, 0.000], [2.121, 3.673, 0.000], [2.121, 1.224, 3.463]], "species": ["Mo", "Mo", "F", "As"], "frac_coords": [[0.250, 0.250, 0.250], [0.750, 0.750, 0.750], [0.000, 0.000, 0.000], [0.500, 0.500, 0.500]], "raw_formation_energy_kj_per_mol_fu": -52}

| no. | total magnetic moment (μB/cell) |
| --- | --- |
| 1 | 3.444 |
| 2 | 0.003 |
| 3 | 0.207 |
| 4 | 0.805 |